# 1
## Cs3Tb3InSe8 (PBE)

Data for an optimized crystal structure of Cs3Tb3InSe8.

a b c (Å): 8.3631 8.3631 9.8784
angles (deg): 115.10 115.10 59.94
With the nearest neighbours (Å) after each atom.
Atoms (fractional coordinates):
Cs  0.0000  0.0000  0.0000  6 Se 3.62-3.63
Cs  0.0000  0.5000  0.0000  6 Se 3.62-3.63
Cs  0.5000  0.0000  0.0000  6 Se 3.62-3.63
Tb  0.0000  0.5000  0.5000  6 Se 2.90
Tb  0.5000  0.0000  0.5000  6 Se 2.90
Tb  0.5000  0.5000  0.5000  6 Se 2.90
In  0.0000  0.0000  0.5000  6 Se 2.85
Se  0.2253  0.2253  0.6830  1 In 2.85, 2 Tb 2.90
Se  0.2252  0.7325  0.6830  1 In 2.85, 2 Tb 2.90
Se  0.2675  0.7748  0.3170  1 In 2.85, 2 Tb 2.90
Se  0.2711  0.2711  0.3135  3 Tb 2.90
Se  0.7289  0.7289  0.6865  3 Tb 2.90
Se  0.7325  0.2252  0.6830  1 In 2.85, 2 Tb 2.90
Se  0.7748  0.2675  0.3170  1 In 2.85, 2 Tb 2.90
Se  0.7747  0.7747  0.3170  1 In 2.85, 2 Tb 2.90

## Properties
**Space-group type**: C2/m, No. 12
**E_form (uncorrected)**: -1.413 eV per atom

=====

# 2
## SiTeH (PBE)

Data for an optimized crystal structure of SiTeH.

a b c (Å): 4.0439 4.0446 9.2531
angles (deg): 78.68 78.42 60.82
With the nearest neighbours (Å) after each atom.
Atoms (fractional coordinates):
Si  0.0000  0.0000  0.0000  3 Si 2.42-2.44, 1 Te 2.57
Si  0.3575  0.3562  0.9260  3 Si 2.42-2.44, 1 Te 2.57
Te  0.3218  0.5302  0.6447  1 H 1.70
Te  0.8237  0.0402  0.2814  1 H 1.70
H  0.0862  0.2660  0.2789  1 Te 1.70
H  0.0970  0.2672  0.6465  1 Te 1.70

## Properties
**Space-group type**: P1, No. 1
**E_tot**: -3.79 eV/atom

=====

# 3
## Be3CuAu4 (PBE)

Data for an optimized crystal structure of Be3CuAu4.

a b c (Å): 7.3854 7.3854 7.3854
angles (deg): 33.45 33.45 33.45
With the nearest neighbours (Å) after each atom.
Atoms (fractional coordinates):
Be  0.0000  0.0000  0.0000  8 Au 2.44-2.57
Be  0.2423  0.2423  0.2423  8 Au 2.51-2.71
Be  0.7577  0.7577  0.7577  8 Au 2.51-2.71
Cu  0.5000  0.5000  0.5000  8 Au 2.67-2.73, 6 Be 2.92
Au  0.1167  0.1167  0.1167  5 Be 2.44-2.62, 3 Cu 2.67
Au  0.3693  0.3693  0.3693  7 Be 2.57-2.71, 1 Cu 2.73
Au  0.6307  0.6307  0.6307  7 Be 2.57-2.71, 1 Cu 2.73
Au  0.8833  0.8833  0.8833  5 Be 2.44-2.62, 3 Cu 2.67

## Properties
**Space-group type**: R-3m, No. 166
**E_tot**: -3.64 eV/atom

=====

# 4
## Dy3In2Ir (PBE)

Data for an optimized crystal structure of Dy3In2Ir.

a b c (Å): 8.0685 8.0685 7.5720
angles (deg): 90.00 90.00 143.50
With the nearest neighbours (Å) after each atom.
Atoms (fractional coordinates):
Dy  0.0000  0.0000  0.2373  2 Ir 2.91, 6 In 3.10-3.23
Dy  0.0000  0.0000  0.7627  2 Ir 2.91, 6 In 3.10-3.23
Dy  0.3237  0.6763  0.2167  3 Ir 3.04-3.13, 4 In 3.16-3.32, 3 Dy 3.28-3.39
Dy  0.3237  0.6763  0.7833  3 Ir 3.04-3.13, 4 In 3.16-3.32, 3 Dy 3.28-3.39
Dy  0.6763  0.3237  0.2167  3 Ir 3.04-3.13, 4 In 3.16-3.32, 3 Dy 3.28-3.39
Dy  0.6763  0.3237  0.7833  3 Ir 3.04-3.13, 4 In 3.16-3.32, 3 Dy 3.28-3.39
In  0.1659  0.8341  0.5000  8 Dy 3.23-3.32, 4 In 3.58-3.61
In  0.5000  0.5000  0.0000  8 Dy 3.10-3.16, 4 Ir 3.41
In  0.5000  0.5000  0.5000  8 Dy 3.22-3.45, 4 In 3.58
In  0.8341  0.1659  0.5000  8 Dy 3.23-3.32, 4 In 3.58-3.61
Ir  0.1494  0.8506  0.0000  8 Dy 2.91-3.13
Ir  0.8506  0.1494  0.0000  8 Dy 2.91-3.13

## Properties
**Space-group type**: Cmmm, No. 65
**E_tot**: -5.28 eV/atom

=====

# 5
## CaRuO4 (PBE)

Data for an optimized crystal structure of CaRuO4.

a b c (Å): 6.9361 6.9361 6.9361
angles (deg): 135.44 135.44 64.84
With the nearest neighbours (Å) after each atom.
Atoms (fractional coordinates):
Ca  0.3750  0.1250  0.2500  8 O 2.47-2.49
Ca  0.6250  0.8750  0.7500  8 O 2.47-2.49
Ru  0.1250  0.3750  0.7500  4 O 1.80
Ru  0.8750  0.6250  0.2500  4 O 1.80
O  0.0577  0.2094  0.3522  1 Ru 1.80
O  0.2055  0.5577  0.3483  1 Ru 1.80
O  0.2906  0.1428  0.8483  1 Ru 1.80
O  0.3572  0.7055  0.1478  1 Ru 1.80
O  0.6428  0.2945  0.8522  1 Ru 1.80
O  0.7094  0.8572  0.1517  1 Ru 1.80
O  0.7945  0.4423  0.6517  1 Ru 1.80
O  0.9423  0.7906  0.6478  1 Ru 1.80

## Properties
**Space-group type**: I4_1/a, No. 88
**Excess energy over the best structure of this formula in the dataset**: 0 meV per atom
**E_form (uncorrected)**: -1.578 eV per atom

=====

# 6
## SmIn3Pd4 (PBE)

Data for an optimized crystal structure of SmIn3Pd4.

a b c (Å): 8.1825 8.1825 8.1825
angles (deg): 34.10 34.10 34.10
With the nearest neighbours (Å) after each atom.
Atoms (fractional coordinates):
Sm  0.0000  0.0000  0.0000  8 Pd 2.99
In  0.2521  0.2521  0.2521  8 Pd 2.83-2.99
In  0.5000  0.5000  0.5000  8 Pd 2.73-2.90
In  0.7479  0.7479  0.7479  8 Pd 2.83-2.99
Pd  0.1296  0.1296  0.1296  7 In 2.83-2.99, 1 Sm 2.99
Pd  0.3817  0.3817  0.3817  5 In 2.73-2.99, 3 Sm 2.99
Pd  0.6183  0.6183  0.6183  5 In 2.73-2.99, 3 Sm 2.99
Pd  0.8704  0.8704  0.8704  7 In 2.83-2.99, 1 Sm 2.99

## Properties
**Space-group type**: R-3m, No. 166
**E_tot**: -4.84 eV/atom

=====

# 7
## SrSiRu2Pb (PBE)

Data for an optimized crystal structure of SrSiRu2Pb.

a b c (Å): 4.9828 4.9828 5.4460
angles (deg): 90.00 90.00 90.00
With the nearest neighbours (Å) after each atom.
Atoms (fractional coordinates):
Sr  0.0000  0.0000  0.0000  4 Ru 2.49, 2 Si 2.72
Si  0.0000  0.0000  0.5000  2 Sr 2.72
Ru  0.0000  0.5000  0.0000  2 Sr 2.49
Ru  0.5000  0.0000  0.0000  2 Sr 2.49
Pb  0.5000  0.5000  0.5000  4 Si 3.52, 8 Ru 3.69

## Properties
**Space-group type**: P4/mmm, No. 123
**E_form (uncorrected)**: 2.062 eV per atom

=====

In the order shown, the computed theoretical density values come out to 5.17, 4.05, 13.38, 10.30, 4.21, 9.96, 6.45 Mg/m³.
In the order shown, the computed magnetization values come out to 0.00, 0.00, 0.00, 0.00, 3.87, 0.00, 2.87 Bohr magnetons per cell.